1.
11
Lattice="5.248 0.000 0.000 0.000 6.932 0.462 -2.624 -2.411 8.720" Properties=species:S:1:pos:R:3 comment="PBE Sm8Hg2Rh, relaxed" magmom_total_mub_per_cell=0.0 e_above_lowest_polymorph_mev_per_atom=0 pbc="T T T"
Sm 0.000 -1.423 6.092
Sm 2.624 -0.755 8.418
Sm 0.000 5.275 0.764
Sm 2.624 3.323 5.528
Sm 0.000 1.198 3.654
Sm 0.000 1.901 7.446
Sm 2.624 2.620 1.736
Sm 2.624 5.944 3.090
Hg 2.624 0.308 5.487
Hg 0.000 4.213 3.695
Rh 2.624 0.000 0.000

2.
10
Lattice="-1.552 1.536 3.803 -2.036 -3.818 0.711 9.097 -3.867 5.275" Properties=species:S:1:pos:R:3 comment="PBE Sm2Sn3HgRh4, relaxed" magmom_total_mub_per_cell=0.0 pbc="T T T"
Hg 2.754 -3.075 4.895
Rh -1.794 -1.141 2.257
Rh 2.219 -3.285 2.233
Rh 5.083 -1.723 5.299
Rh 0.000 0.000 0.000
Sn 7.159 -2.605 6.503
Sn 0.144 -2.403 1.029
Sn 4.548 -1.933 2.638
Sm 1.492 -0.196 3.217
Sm 5.811 -4.812 4.316

3.
4
Lattice="-3.136 -2.654 3.261 0.039 -5.245 -0.013 2.048 -2.617 4.058" Properties=species:S:1:pos:R:3 comment="PBE SrSmHgRh, relaxed" magmom_total_mub_per_cell=0.0 pbc="T T T"
Hg -0.524 -5.258 3.653
Sr -0.262 -2.629 1.827
Rh 0.000 0.000 0.000
Sm -0.787 -7.887 5.480

4.
4
Lattice="-4.378 2.221 1.433 -2.809 -2.063 3.743 -0.318 2.331 4.541" Properties=species:S:1:pos:R:3 comment="PBE TbSmHgRh, relaxed" magmom_total_mub_per_cell=0.0 pbc="T T T"
Rh -3.752 1.245 4.858
Sm -1.876 0.622 2.429
Hg 0.000 0.000 0.000
Tb -5.628 1.867 7.287

5.
20
Lattice="3.776 0.000 0.000 0.000 11.967 0.000 0.000 0.000 11.967" Properties=species:S:1:pos:R:3 comment="PBE Sm5Tl2HgRh2, relaxed" magmom_total_mub_per_cell=0.0 pbc="T T T"
Hg 0.000 5.984 5.984
Hg 0.000 0.000 0.000
Sm 1.888 5.048 3.542
Sm 1.888 5.984 0.000
Sm 1.888 3.542 6.919
Sm 1.888 8.425 5.048
Sm 1.888 0.935 9.526
Sm 1.888 2.441 0.935
Sm 1.888 0.000 5.984
Sm 1.888 9.526 11.032
Sm 1.888 6.919 8.425
Sm 1.888 11.032 2.441
Tl 0.000 3.910 9.894
Tl 0.000 2.073 3.910
Tl 0.000 9.894 8.057
Tl 0.000 8.057 2.073
Rh 0.000 10.397 4.413
Rh 0.000 4.413 1.570
Rh 0.000 7.554 10.397
Rh 0.000 1.570 7.554

6.
4
Lattice="-2.026 3.825 2.559 -2.055 -0.806 4.518 2.267 1.737 4.139" Properties=species:S:1:pos:R:3 comment="PBE SmTlHgRh, relaxed" magmom_total_mub_per_cell=0.0 pbc="T T T"
Hg -1.360 3.567 8.413
Rh -0.453 1.189 2.804
Sm -0.907 2.378 5.608
Tl 0.000 0.000 0.000

7.
4
Lattice="5.073 0.000 0.000 2.536 4.393 0.000 2.536 1.464 4.142" Properties=species:S:1:pos:R:3 comment="PBE SmTmHgRh, relaxed" magmom_total_mub_per_cell=0.0 pbc="T T T"
Rh 5.073 2.929 2.071
Sm 2.536 1.464 1.035
Hg 0.000 0.000 0.000
Tm 7.609 4.393 3.106

8.
9
Lattice="3.748 0.000 0.000 0.000 7.678 0.000 0.000 -3.839 6.650" Properties=species:S:1:pos:R:3 comment="PBE Sm3ZnHg2Rh3, relaxed" magmom_total_mub_per_cell=0.0 pbc="T T T"
Hg 1.874 3.839 2.217
Hg 1.874 0.000 4.433
Rh 1.874 -2.935 5.084
Rh 1.874 5.871 0.000
Rh 1.874 0.904 1.566
Sm 0.000 2.800 0.000
Sm 0.000 -1.400 2.425
Sm 0.000 2.439 4.225
Zn 0.000 0.000 0.000

9.
8
Lattice="-4.186 1.665 7.669 3.248 -7.545 3.411 1.595 -1.667 6.390" Properties=species:S:1:pos:R:3 comment="PBE SnHg2Rh, relaxed" magmom_total_mub_per_cell=0.0 pbc="T T T"
Rh 2.187 -6.076 7.670
Rh -0.469 -2.940 5.540
Hg -1.442 -0.466 6.139
Hg 0.089 -5.728 14.186
Hg 1.536 -4.777 5.365
Hg 1.131 -4.122 9.248
Sn 0.000 0.000 0.000
Sn -1.530 -1.471 9.799

10.
5
Lattice="-3.551 3.132 -2.149 -1.240 -3.737 -3.397 -3.591 -1.808 3.299" Properties=species:S:1:pos:R:3 comment="PBE SnHg3Rh, relaxed" magmom_total_mub_per_cell=0.0 e_above_lowest_polymorph_mev_per_atom=0 pbc="T T T"
Hg -0.620 -1.868 -1.699
Hg -1.795 -0.904 1.649
Hg -1.776 1.566 -1.075
Rh 0.000 0.000 0.000
Sn -4.191 -1.206 -1.124

11.
8
Lattice="8.748 0.000 0.000 0.000 8.748 0.000 4.374 4.374 2.684" Properties=species:S:1:pos:R:3 comment="PBE Sn2HgRh, relaxed" magmom_total_mub_per_cell=0.0 pbc="T T T"
Hg 0.000 0.000 0.000
Hg 8.748 4.374 1.342
Sn 5.681 2.187 0.671
Sn 3.066 6.561 0.671
Sn 10.935 10.055 2.013
Sn 6.561 7.440 2.013
Rh 4.374 4.374 0.000
Rh 4.374 8.748 1.342

12.
4
Lattice="3.476 0.000 0.000 1.738 3.011 0.000 1.738 1.004 9.176" Properties=species:S:1:pos:R:3 comment="PBE Sn2HgRh, relaxed" magmom_total_mub_per_cell=0.0 pbc="T T T"
Sn 5.215 3.011 2.799
Sn 1.738 1.004 6.377
Hg 0.000 0.000 0.000
Rh 3.476 2.007 4.588

| no. | uncorrected energy (eV/atom) |
| --- | --- |
| 1 | -4.452 |
| 2 | -5.697 |
| 3 | -3.893 |
| 4 | -4.826 |
| 5 | -4.843 |
| 6 | -3.934 |
| 7 | -4.803 |
| 8 | -4.742 |
| 9 | -2.838 |
| 10 | -2.110 |
| 11 | -3.958 |
| 12 | -4.081 |